No. 1
A plane-wave DFT calculation with meta-GGA SCAN was carried out for a PBEsol-optimized structure of Y2MgSe.

Structure (POSCAR):
```
Y2MgSe
1.0
3.8239 0.0000 0.0000
1.9120 3.3116 0.0000
1.9120 1.1039 8.2941
Y Mg Se
2 1 1
Direct
0.7358 0.7358 0.7926
0.2642 0.2642 0.2074
0.5000 0.5000 0.5000
0.0000 0.0000 0.0000
```

Output
SG: R-3m, No. 166
Formation energy from raw total energies: -0.979 eV per atom
ΔE to the lowest computed polymorph: 0.00 eV per formula unit
Theoretical density: 4.44 g cm⁻³

No. 2
A plane-wave DFT calculation with meta-GGA SCAN was carried out for a PBEsol-optimized structure of Y2MgSe.

Structure (POSCAR):
```
Y2MgSe
1.0
3.5128 0.0000 0.0000
0.0000 5.2102 0.0000
0.0000 0.0000 5.2102
Y Se Mg
2 1 1
Direct
0.0000 0.0000 0.5000
0.0000 0.5000 0.0000
0.5000 0.0000 0.0000
0.5000 0.5000 0.5000
```

Output
SG: P4/mmm, No. 123
Formation energy from raw total energies: -0.659 eV per atom
ΔE to the lowest computed polymorph: 1.28 eV per formula unit
Theoretical density: 4.89 g cm⁻³

No. 3
A plane-wave DFT calculation with meta-GGA SCAN was carried out for a PBEsol-optimized structure of Y2MgSe4.

Structure (POSCAR):
```
Y2MgSe4
1.0
-2.0319 0.0331 3.4066
11.0378 -1.9759 6.6026
1.8561 13.6256 0.9747
Se Y Mg
16 8 4
Direct
0.2500 0.2412 0.4868
0.7500 0.9692 0.8816
0.2500 0.9907 0.6179
0.2500 0.4907 0.8821
0.2500 0.7214 0.7527
0.7500 0.7786 0.2527
0.7500 0.2786 0.2473
0.7500 0.0093 0.3821
0.7500 0.2588 0.9868
0.2500 0.0308 0.1184
0.2500 0.5308 0.3816
0.7500 0.5093 0.1179
0.7500 0.7588 0.5132
0.2500 0.7412 0.0132
0.2500 0.2214 0.7473
0.7500 0.4692 0.6184
0.2500 0.1152 0.9244
0.2500 0.6152 0.5756
0.2500 0.6423 0.2024
0.7500 0.3577 0.7976
0.7500 0.3848 0.4244
0.7500 0.8577 0.7024
0.2500 0.1423 0.2976
0.7500 0.8848 0.0756
0.7500 0.1129 0.5488
0.7500 0.6129 0.9512
0.2500 0.3871 0.0488
0.2500 0.8871 0.4512
```

Output
SG: Pnma, No. 62
Formation energy from raw total energies: -1.898 eV per atom
ΔE to the lowest computed polymorph: 0.48 eV per formula unit
Theoretical density: 4.83 g cm⁻³

No. 4
A plane-wave DFT calculation with meta-GGA SCAN was carried out for a PBEsol-optimized structure of YMgSe.

Structure (POSCAR):
```
YMgSe
1.0
3.7725 0.0000 0.0000
-1.8863 3.2671 0.0000
0.0000 0.0000 6.1669
Y Mg Se
1 1 1
Direct
0.6667 0.3333 0.3768
0.0000 0.0000 0.9506
0.3333 0.6667 0.6726
```

Output
SG: P3m1, No. 156
Formation energy from raw total energies: -0.973 eV per atom
ΔE to the lowest computed polymorph: 0.00 eV per formula unit
Theoretical density: 4.20 g cm⁻³

No. 5
A plane-wave DFT calculation with meta-GGA SCAN was carried out for a PBEsol-optimized structure of YMgSe.

Structure (POSCAR):
```
YMgSe
1.0
-3.1382 -0.3995 3.7251
-0.2172 -4.1461 2.5783
1.6623 -0.1103 4.5945
Se Mg Y
1 1 1
Direct
0.5000 0.5000 0.5000
0.0000 0.0000 0.0000
0.2500 0.2500 0.2500
```

Output
SG: F-43m, No. 216
Formation energy from raw total energies: -0.315 eV per atom
ΔE to the lowest computed polymorph: 1.97 eV per formula unit
Theoretical density: 3.87 g cm⁻³

No. 6
A plane-wave DFT calculation with meta-GGA SCAN was carried out for a PBEsol-optimized structure of YMgSe2.

Structure (POSCAR):
```
YMgSe2
1.0
3.7847 0.0000 0.0000
0.0000 4.0197 0.0000
-1.8924 0.0000 5.8572
Se Mg Y
2 1 1
Direct
0.7696 0.5000 0.5393
0.0233 0.0000 0.0466
0.2416 0.0000 0.4831
0.4655 0.5000 0.9310
```

Output
SG: Amm2, No. 38
Formation energy from raw total energies: -1.620 eV per atom
Theoretical density: 5.05 g cm⁻³

No. 7
A plane-wave DFT calculation with meta-GGA SCAN was carried out for a PBEsol-optimized structure of Y2MgSe4.

Structure (POSCAR):
```
Y2MgSe4
1.0
7.4021 -0.0047 0.0079
-2.5977 6.9313 -0.0079
2.5977 3.3277 6.0802
Y Mg Se
4 2 8
Direct
0.1243 0.4993 0.1250
0.3757 0.6250 0.4993
0.8757 0.7507 0.6250
0.6243 0.1250 0.7507
0.5000 0.2500 0.2500
0.0000 0.0000 0.0000
0.2399 0.8730 0.7498
0.1228 0.2397 0.5002
0.6228 0.7498 0.0103
0.2601 0.8831 0.2397
0.7399 0.5002 0.3770
0.7601 0.0103 0.3669
0.8772 0.3770 0.8831
0.3772 0.3669 0.8730
```

Output
SG: I-42d, No. 122
Formation energy from raw total energies: -1.855 eV per atom
ΔE to the lowest computed polymorph: 0.78 eV per formula unit
Theoretical density: 5.52 g cm⁻³

No. 8
A plane-wave DFT calculation with meta-GGA SCAN was carried out for a PBEsol-optimized structure of Y3MgSe.

Structure (POSCAR):
```
Y3MgSe
1.0
5.3247 0.0000 0.0000
0.0000 5.3247 0.0000
0.0000 0.0000 5.3247
Mg Y Se
1 3 1
Direct
0.5000 0.5000 0.5000
0.5000 0.0000 0.0000
0.0000 0.5000 0.0000
0.0000 0.0000 0.5000
0.0000 0.0000 0.0000
```

Output
SG: Pm-3m, No. 221
Formation energy from raw total energies: -0.625 eV per atom
Theoretical density: 4.07 g cm⁻³